No. 1
The following is a DFT calculation (PBE) of crystalline KSr2CCl at its relaxed geometry.

The structure in POSCAR format:
```
KSr2CCl
1.0
-4.3262 -0.9565 -3.5329
0.4640 -5.3513 0.8807
-3.6281 0.3988 4.3348
K Sr C Cl
1 2 1 1
direct
0.0000 0.5000 0.0000
0.5000 0.0000 0.0000
0.0000 0.0000 0.5000
0.5000 0.5000 0.5000
0.0000 0.0000 0.0000
```

raw formation energy = 2.7 eV per formula unit
DFT total energy = -2.57 eV per atom

=====

No. 2
The following is a DFT calculation (PBE) of crystalline KTe2CCl at its relaxed geometry.

The structure in POSCAR format:
```
KTe2CCl
1.0
-1.3903 4.1323 -1.4595
-5.9449 -0.5511 4.1028
2.2293 1.9852 3.4969
Te C K Cl
2 1 1 1
direct
0.0000 0.0000 0.5000
0.5000 0.0000 0.0000
0.0000 0.0000 0.0000
0.0000 0.5000 0.0000
0.5000 0.5000 0.5000
```

raw formation energy = 1.3 eV per formula unit
DFT total energy = -3.43 eV per atom

=====

No. 3
The following is a DFT calculation (PBE) of crystalline K2ZrCCl at its relaxed geometry.

The structure in POSCAR format:
```
K2ZrCCl
1.0
7.1814 0.0000 0.0000
0.0000 4.9217 0.0000
0.0000 0.0000 7.1814
Cl Zr C K
1 1 1 2
direct
0.0000 0.5000 0.0000
0.0000 0.0000 0.0000
0.5000 0.5000 0.5000
0.0000 0.0000 0.5000
0.5000 0.0000 0.0000
```

raw formation energy = 6.7 eV per formula unit
DFT total energy = -3.03 eV per atom

=====

No. 4
The following is a DFT calculation (PBE) of crystalline LaCCl3 at its relaxed geometry.

The structure in POSCAR format:
```
LaCCl3
1.0
4.6133 0.0000 0.0000
0.0000 4.6133 0.0000
0.0000 0.0000 4.6133
Cl La C
3 1 1
direct
0.5000 0.0000 0.0000
0.0000 0.5000 0.0000
0.0000 0.0000 0.5000
0.5000 0.5000 0.5000
0.0000 0.0000 0.0000
```

raw formation energy = -0.1 eV per formula unit
DFT total energy = -3.95 eV per atom

=====

No. 5
The following is a DFT calculation (PBE) of crystalline La3CCl3 at its relaxed geometry.

The structure in POSCAR format:
```
La3CCl3
1.0
-6.5309 -1.2239 -7.3078
8.3168 3.8950 -3.6352
1.9929 -8.7462 4.1336
C Cl La
4 12 12
direct
0.0000 0.0000 0.2500
0.7500 0.5000 0.0000
0.7500 0.2500 0.2500
0.5000 0.2500 0.5000
0.0060 0.2500 0.9940
0.4940 0.5060 0.2500
0.2560 0.5121 0.5060
0.0121 0.5060 0.7560
0.4879 0.7440 0.9940
0.2560 0.7440 0.2500
0.7500 0.9940 0.5060
0.7500 0.7560 0.7440
0.2440 0.9940 0.9879
0.2440 0.2500 0.7560
0.4940 0.9879 0.7440
0.0060 0.7560 0.5121
0.7339 0.2661 0.7500
0.9839 0.7500 0.0161
0.7661 0.0161 0.0322
0.5161 0.0322 0.2661
0.9839 0.2339 0.4678
0.2500 0.0161 0.4839
0.2500 0.2339 0.2661
0.9678 0.4839 0.2339
0.5322 0.2661 0.0161
0.7339 0.4678 0.4839
0.7661 0.7500 0.2339
0.5161 0.4839 0.7500
```

raw formation energy = -10.9 eV per formula unit
DFT total energy = -5.78 eV per atom

=====

No. 6
The following is a DFT calculation (PBE) of crystalline La2C2Cl at its relaxed geometry.

The structure in POSCAR format:
```
La2C2Cl
1.0
4.0928 0.0000 -1.1065
-0.3120 6.6778 -1.1539
-0.0881 -0.1500 7.7963
C La Cl
4 4 2
direct
0.6425 0.9736 0.5540
0.9115 0.4736 0.5540
0.3575 0.0264 0.4460
0.0885 0.5264 0.4460
0.5472 0.3502 0.7014
0.8458 0.1498 0.2986
0.1542 0.8502 0.7014
0.4528 0.6498 0.2986
0.2127 0.2500 0.0000
0.7873 0.7500 0.0000
```

raw formation energy = -4.7 eV per formula unit
DFT total energy = -6.97 eV per atom

=====

No. 7
The following is a DFT calculation (PBE) of crystalline La7CCl12 at its relaxed geometry.

The structure in POSCAR format:
```
La7CCl12
1.0
-4.1424 -2.0923 7.8288
-1.6900 -6.7549 -5.8602
8.9606 0.0406 1.5915
Cl La C
12 7 1
direct
0.0777 0.6863 0.2177
0.3137 0.7823 0.9223
0.9223 0.3137 0.7823
0.6863 0.2177 0.0777
0.8409 0.6165 0.5262
0.1591 0.3835 0.4738
0.3835 0.4738 0.1591
0.4738 0.1591 0.3835
0.5262 0.8409 0.6165
0.6165 0.5262 0.8409
0.7823 0.9223 0.3137
0.2177 0.0777 0.6863
0.6843 0.8861 0.9691
0.9691 0.6843 0.8861
0.1139 0.0309 0.3157
0.3157 0.1139 0.0309
0.0309 0.3157 0.1139
0.5000 0.5000 0.5000
0.8861 0.9691 0.6843
0.0000 0.0000 0.0000
```

raw formation energy = -39.5 eV per formula unit
DFT total energy = -5.27 eV per atom

=====

No. 8
The following is a DFT calculation (PBE) of crystalline La5CCl5 at its relaxed geometry.

The structure in POSCAR format:
```
La5CCl5
1.0
-5.6101 -0.5956 1.1680
2.1858 -3.5949 -5.5434
1.8910 -4.4995 6.7882
Cl La C
5 5 1
direct
0.6686 0.3372 0.3473
0.0000 0.0000 0.5000
0.3314 0.6628 0.6527
0.6510 0.3020 0.8005
0.3490 0.6980 0.1995
0.1614 0.3228 0.8657
0.5000 0.0000 0.0000
0.8539 0.7078 0.7158
0.8386 0.6772 0.1343
0.1461 0.2922 0.2842
0.0000 0.0000 0.0000
```

raw formation energy = -16.9 eV per formula unit
DFT total energy = -5.45 eV per atom

=====

No. 9
The following is a DFT calculation (PBE) of crystalline La4CCl2 at its relaxed geometry.

The structure in POSCAR format:
```
La4CCl2
1.0
5.3384 0.0000 0.0000
0.0000 5.3384 0.0000
2.6692 2.6692 6.9912
La C Cl
4 1 2
direct
0.5000 0.0000 0.0000
0.1826 0.1826 0.6348
0.8174 0.8174 0.3652
0.0000 0.5000 0.0000
0.0000 0.0000 0.0000
0.6071 0.6071 0.7857
0.3929 0.3929 0.2143
```

raw formation energy = -5.2 eV per formula unit
DFT total energy = -5.41 eV per atom

=====

No. 10
The following is a DFT calculation (PBE) of crystalline LaCCl at its relaxed geometry.

The structure in POSCAR format:
```
LaCCl
1.0
-2.0797 2.1807 3.3205
-2.8851 -2.5235 -0.1497
6.2145 -4.4128 3.7628
C La Cl
2 2 2
direct
0.6419 0.5000 0.0000
0.3581 0.5000 0.0000
0.8800 0.3800 0.7600
0.1200 0.6200 0.2400
0.6816 0.1816 0.3632
0.3184 0.8184 0.6368
```

raw formation energy = -2.7 eV per formula unit
DFT total energy = -6.24 eV per atom

=====

No. 11
The following is a DFT calculation (PBE) of crystalline La2CCl2 at its relaxed geometry.

The structure in POSCAR format:
```
La2CCl2
1.0
7.0203 0.0000 -0.0177
0.0000 7.8074 0.0000
-0.8927 0.0000 9.7863
C La Cl
4 8 8
direct
0.8519 0.0969 0.3753
0.6481 0.5969 0.6247
0.1481 0.9031 0.6247
0.3519 0.4031 0.3753
0.2518 0.5078 0.1718
0.3038 0.6244 0.5572
0.7518 0.9922 0.1718
0.1962 0.1244 0.4428
0.6962 0.3756 0.4428
0.2482 0.0078 0.8282
0.7482 0.4922 0.8282
0.8038 0.8756 0.5572
0.9829 0.7760 0.9654
0.0171 0.2240 0.0346
0.4829 0.7240 0.9654
0.6030 0.1504 0.6994
0.1030 0.3496 0.6994
0.3970 0.8496 0.3006
0.8970 0.6504 0.3006
0.5171 0.2760 0.0346
```

raw formation energy = -6.8 eV per formula unit
DFT total energy = -5.91 eV per atom

=====

No. 12
The following is a DFT calculation (PBE) of crystalline La3C2Cl2 at its relaxed geometry.

The structure in POSCAR format:
```
La3C2Cl2
1.0
3.7683 0.1774 -0.0339
-1.5750 6.2484 -0.2154
-0.1281 -1.2617 7.5703
La Cl C
3 2 2
direct
0.7882 0.5662 0.2184
0.0000 0.0000 0.0000
0.2118 0.4338 0.7816
0.8325 0.7426 0.6313
0.1675 0.2574 0.3687
0.3430 0.7188 0.0566
0.6570 0.2812 0.9434
```

raw formation energy = -6.1 eV per formula unit
DFT total energy = -6.15 eV per atom

=====

Sequential magnetic moment output: 0.0; 0.0; 5.0; 0.0; 0.0; 0.0; 1.7; 0.0; 0.0; 0.0; 0.0; 0.0 μB/cell